Record 1
Below is a geometry-optimized ZnCuO2 structure, with properties calculated at the PBE level.

Unit cell a=3.073 b=8.018 c=8.638 alpha=87.61 beta=89.59 gamma=82.21
Positions (direct):
Zn: 0.000 0.000 0.000
Zn: 0.069 0.899 0.600
Zn: 0.396 0.332 0.799
Zn: 0.466 0.232 0.399
Cu: 0.015 0.387 0.087
Cu: 0.451 0.846 0.312
Cu: 0.607 0.692 0.878
Cu: 0.857 0.540 0.520
O: 0.063 0.838 0.818
O: 0.153 0.544 0.929
O: 0.311 0.689 0.470
O: 0.401 0.394 0.581
O: 0.529 0.912 0.112
O: 0.538 0.000 0.486
O: 0.926 0.232 0.913
O: 0.936 0.320 0.287

Results
formation energy (no corrections)	-83	kJ per mole of atoms
space group	P1
volume	210.7	Å³/cell



Record 2
Below is a geometry-optimized Y2SiSe structure, with properties calculated at the PBE level.

Unit cell a=8.090 b=8.090 c=8.090 alpha=133.80 beta=133.80 gamma=67.41
Positions (direct):
Y: 0.113 0.625 0.988
Y: 0.375 0.363 0.488
Y: 0.637 0.125 0.012
Y: 0.875 0.887 0.512
Si: 0.000 0.000 0.000
Si: 0.750 0.250 0.500
Se: 0.250 0.750 0.500
Se: 0.500 0.500 0.000

Results
formation energy (no corrections)	-75	kJ per mole of atoms
distance to the lowest polymorph of the same formula	0.569	eV per atom
space group	I-42d
volume	271.3	Å³/cell



Record 3
Below is a geometry-optimized POsRh2 structure, with properties calculated at the PBE level.

Unit cell a=4.690 b=4.690 c=4.690 alpha=132.56 beta=132.56 gamma=69.34
Positions (direct):
P: 0.000 0.000 0.000
Os: 0.500 0.500 0.000
Rh: 0.250 0.750 0.500
Rh: 0.750 0.250 0.500

Results
space group	I4/mmm
volume	54.9	Å³/cell
energy of formation from the pure elements	0.16	eV/atom



Record 4
Below is a geometry-optimized AcEuPd2 structure, with properties calculated at the PBE level.

Unit cell a=5.255 b=5.255 c=3.730 alpha=90.00 beta=90.00 gamma=90.00
Positions (direct):
Ac: 0.000 0.000 0.000
Eu: 0.500 0.500 0.000
Pd: 0.000 0.500 0.500
Pd: 0.500 0.000 0.500

Results
distance to the lowest polymorph of the same formula	0.005	eV per atom
space group	P4/mmm
volume	103.0	Å³/cell
energy of formation from the pure elements	-0.70	eV/atom



Record 5
Below is a geometry-optimized ZrGaPd structure, with properties calculated at the PBE level.

Unit cell a=7.889 b=7.889 c=7.889 alpha=122.89 beta=81.52 gamma=127.19
Positions (direct):
Zr: 0.002 0.250 0.252
Zr: 0.423 0.868 0.056
Zr: 0.427 0.404 0.523
Zr: 0.812 0.368 0.944
Zr: 0.880 0.904 0.477
Zr: 0.998 0.750 0.748
Ga: 0.090 0.427 0.676
Ga: 0.090 0.914 0.163
Ga: 0.384 0.167 0.717
Ga: 0.450 0.667 0.283
Ga: 0.751 0.414 0.324
Ga: 0.751 0.927 0.837
Pd: 0.164 0.327 0.917
Pd: 0.164 0.747 0.337
Pd: 0.411 0.247 0.083
Pd: 0.411 0.827 0.663
Pd: 0.676 0.176 0.500
Pd: 0.676 0.676 0.000

Results
space group	Ima2
volume	316.2	Å³/cell
energy of formation from the pure elements	-0.75	eV/atom



Record 6
Below is a geometry-optimized NdCdNiPt structure, with properties calculated at the PBE level.

Unit cell a=4.823 b=4.823 c=4.823 alpha=60.00 beta=60.00 gamma=60.00
Positions (direct):
Nd: 0.000 0.000 0.000
Cd: 0.500 0.500 0.500
Ni: 0.250 0.250 0.250
Pt: 0.750 0.750 0.750

Results
space group	F-43m
volume	79.3	Å³/cell
energy of formation from the pure elements	-0.45	eV/atom



Record 7
Below is a geometry-optimized LiAg2As structure, with properties calculated at the PBE level.

Unit cell a=3.407 b=3.407 c=5.956 alpha=90.00 beta=90.00 gamma=90.00
Positions (direct):
Li: 0.000 0.000 0.000
Ag: 0.500 0.500 0.241
Ag: 0.500 0.500 0.759
As: 0.000 0.000 0.500

Results
space group	P4/mmm
volume	69.1	Å³/cell
energy of formation from the pure elements	-0.06	eV/atom



Record 8
Below is a geometry-optimized ThAg2Pd8 structure, with properties calculated at the PBE level.

Unit cell a=7.590 b=7.590 c=6.366 alpha=104.04 beta=104.04 gamma=31.90
Positions (direct):
Th: 0.000 0.000 0.000
Ag: 0.272 0.272 0.361
Ag: 0.728 0.728 0.639
Pd: 0.091 0.091 0.461
Pd: 0.183 0.183 0.910
Pd: 0.362 0.362 0.815
Pd: 0.454 0.454 0.279
Pd: 0.546 0.546 0.721
Pd: 0.638 0.638 0.185
Pd: 0.817 0.817 0.090
Pd: 0.909 0.909 0.539

Results
distance to the lowest polymorph of the same formula	0.000	eV per atom
space group	C2/m
volume	187.5	Å³/cell
energy of formation from the pure elements	-0.40	eV/atom